1.
# PBE NdDy2S4, optimized geometry
data_NdDy2S4
_symmetry_space_group_name_H-M 'P 1'
_symmetry_Int_Tables_number 1
_cell_length_a 6.7768
_cell_length_b 6.7768
_cell_length_c 13.2281
_cell_angle_alpha 90.00
_cell_angle_beta 90.00
_cell_angle_gamma 146.83
loop_
_symmetry_equiv_pos_as_xyz
'x,y,z'
loop_
_atom_site_label
_atom_site_type_symbol
_atom_site_fract_x
_atom_site_fract_y
_atom_site_fract_z
Nd1 Nd 0.1245 0.8755 0.7500
Nd2 Nd 0.8755 0.1245 0.2500
Dy1 Dy 0.3702 0.6298 0.5684
Dy2 Dy 0.3702 0.6298 0.9316
Dy3 Dy 0.6298 0.3702 0.0684
Dy4 Dy 0.6298 0.3702 0.4316
S1 S 0.0000 0.0000 0.0000
S2 S 0.0000 0.0000 0.5000
S3 S 0.2733 0.7267 0.1194
S4 S 0.2733 0.7267 0.3806
S5 S 0.4634 0.5366 0.7500
S6 S 0.5366 0.4634 0.2500
S7 S 0.7267 0.2733 0.6194
S8 S 0.7267 0.2733 0.8806
# Fermi-level density of states = 3.06 states/eV/cell
# raw total energy = -89.95 eV/cell
# E above lowest polymorph = 0 meV per atom
# energy relative to the elements, uncorrected = -2.07 eV/atom

=====

2.
# PBE CeSn2Se4, optimized geometry
data_CeSn2Se4
_symmetry_space_group_name_H-M 'P 1'
_symmetry_Int_Tables_number 1
_cell_length_a 7.3194
_cell_length_b 7.3194
_cell_length_c 13.7903
_cell_angle_alpha 90.00
_cell_angle_beta 90.00
_cell_angle_gamma 147.70
loop_
_symmetry_equiv_pos_as_xyz
'x,y,z'
loop_
_atom_site_label
_atom_site_type_symbol
_atom_site_fract_x
_atom_site_fract_y
_atom_site_fract_z
Ce1 Ce 0.1165 0.8835 0.7500
Ce2 Ce 0.8835 0.1165 0.2500
Sn1 Sn 0.3694 0.6306 0.5655
Sn2 Sn 0.3694 0.6306 0.9345
Sn3 Sn 0.6306 0.3694 0.0655
Sn4 Sn 0.6306 0.3694 0.4345
Se1 Se 0.0000 0.0000 0.0000
Se2 Se 0.0000 0.0000 0.5000
Se3 Se 0.2849 0.7151 0.1258
Se4 Se 0.2849 0.7151 0.3742
Se5 Se 0.4721 0.5279 0.7500
Se6 Se 0.5279 0.4721 0.2500
Se7 Se 0.7151 0.2849 0.6258
Se8 Se 0.7151 0.2849 0.8742
# Fermi-level density of states = 6.26 states/eV/cell
# raw total energy = -68.34 eV/cell
# E above lowest polymorph = 0 meV per atom
# energy relative to the elements, uncorrected = -0.90 eV/atom

=====

3.
# PBE InPN3, optimized geometry
data_InPN3
_symmetry_space_group_name_H-M 'P 1'
_symmetry_Int_Tables_number 1
_cell_length_a 4.2503
_cell_length_b 4.2503
_cell_length_c 4.2503
_cell_angle_alpha 90.00
_cell_angle_beta 90.00
_cell_angle_gamma 90.00
loop_
_symmetry_equiv_pos_as_xyz
'x,y,z'
loop_
_atom_site_label
_atom_site_type_symbol
_atom_site_fract_x
_atom_site_fract_y
_atom_site_fract_z
In1 In 0.0000 0.0000 0.0000
P1 P 0.5000 0.5000 0.5000
N1 N 0.0000 0.0000 0.5000
N2 N 0.0000 0.5000 0.0000
N3 N 0.5000 0.0000 0.0000
# Fermi-level density of states = 2.51 states/eV/cell
# raw total energy = -21.05 eV/cell
# energy relative to the elements, uncorrected = 2.42 eV/atom

=====

4.
# PBE Sm5HoMg5, optimized geometry
data_Sm5HoMg5
_symmetry_space_group_name_H-M 'P 1'
_symmetry_Int_Tables_number 1
_cell_length_a 9.5200
_cell_length_b 9.5200
_cell_length_c 6.7236
_cell_angle_alpha 110.55
_cell_angle_beta 110.55
_cell_angle_gamma 35.71
loop_
_symmetry_equiv_pos_as_xyz
'x,y,z'
loop_
_atom_site_label
_atom_site_type_symbol
_atom_site_fract_x
_atom_site_fract_y
_atom_site_fract_z
Sm1 Sm 0.0000 0.0000 0.0000
Sm2 Sm 0.3158 0.3158 0.3150
Sm3 Sm 0.3678 0.3678 0.8664
Sm4 Sm 0.6322 0.6322 0.1336
Sm5 Sm 0.6842 0.6842 0.6850
Ho1 Ho 0.0000 0.0000 0.5000
Mg1 Mg 0.1679 0.1679 0.4347
Mg2 Mg 0.1679 0.1679 0.9014
Mg3 Mg 0.5000 0.5000 0.5000
Mg4 Mg 0.8321 0.8321 0.0986
Mg5 Mg 0.8321 0.8321 0.5653
# Fermi-level density of states = 12.46 states/eV/cell
# raw total energy = -34.50 eV/cell
# formation energy = 149.4 meV per atom

=====

5.
# PBE Pa3Al7Cu2, optimized geometry
data_Pa3Al7Cu2
_symmetry_space_group_name_H-M 'P 1'
_symmetry_Int_Tables_number 1
_cell_length_a 8.9867
_cell_length_b 8.9867
_cell_length_c 8.9867
_cell_angle_alpha 35.46
_cell_angle_beta 35.46
_cell_angle_gamma 35.46
loop_
_symmetry_equiv_pos_as_xyz
'x,y,z'
loop_
_atom_site_label
_atom_site_type_symbol
_atom_site_fract_x
_atom_site_fract_y
_atom_site_fract_z
Pa1 Pa 0.0000 0.0000 0.0000
Pa2 Pa 0.1428 0.1428 0.1428
Pa3 Pa 0.8572 0.8572 0.8572
Al1 Al 0.0729 0.5818 0.5818
Al2 Al 0.4182 0.4182 0.9271
Al3 Al 0.4182 0.9271 0.4182
Al4 Al 0.5000 0.5000 0.5000
Al5 Al 0.5818 0.0729 0.5818
Al6 Al 0.5818 0.5818 0.0729
Al7 Al 0.9271 0.4182 0.4182
Cu1 Cu 0.3352 0.3352 0.3352
Cu2 Cu 0.6648 0.6648 0.6648
# Fermi-level density of states = 14.58 states/eV/cell
# raw total energy = -66.51 eV/cell
# formation energy = -303.0 meV per atom

=====

6.
# PBE VGaSN2, optimized geometry
data_VGaSN2
_symmetry_space_group_name_H-M 'P 1'
_symmetry_Int_Tables_number 1
_cell_length_a 3.7831
_cell_length_b 3.7831
_cell_length_c 5.0186
_cell_angle_alpha 90.00
_cell_angle_beta 90.00
_cell_angle_gamma 90.00
loop_
_symmetry_equiv_pos_as_xyz
'x,y,z'
loop_
_atom_site_label
_atom_site_type_symbol
_atom_site_fract_x
_atom_site_fract_y
_atom_site_fract_z
V1 V 0.0000 0.0000 0.0000
Ga1 Ga 0.5000 0.5000 0.5000
S1 S 0.5000 0.5000 0.0000
N1 N 0.0000 0.5000 0.5000
N2 N 0.5000 0.0000 0.5000
# Fermi-level density of states = 2.58 states/eV/cell
# raw total energy = -27.88 eV/cell
# E above lowest polymorph = 828 meV per atom
# energy relative to the elements, uncorrected = 1.01 eV/atom

=====

7.
# PBE La2CF2, optimized geometry
data_La2CF2
_symmetry_space_group_name_H-M 'P 1'
_symmetry_Int_Tables_number 1
_cell_length_a 3.7184
_cell_length_b 3.7184
_cell_length_c 25.3019
_cell_angle_alpha 90.00
_cell_angle_beta 90.00
_cell_angle_gamma 120.00
loop_
_symmetry_equiv_pos_as_xyz
'x,y,z'
loop_
_atom_site_label
_atom_site_type_symbol
_atom_site_fract_x
_atom_site_fract_y
_atom_site_fract_z
La1 La 0.0000 0.0000 0.1053
La2 La 0.0000 0.0000 0.8947
La3 La 0.3333 0.6667 0.5614
La4 La 0.3333 0.6667 0.7719
La5 La 0.6667 0.3333 0.2281
La6 La 0.6667 0.3333 0.4386
C1 C 0.0000 0.0000 0.5000
C2 C 0.3333 0.6667 0.1667
C3 C 0.6667 0.3333 0.8333
F1 F 0.0000 0.0000 0.3847
F2 F 0.0000 0.0000 0.6153
F3 F 0.3333 0.6667 0.0514
F4 F 0.3333 0.6667 0.2819
F5 F 0.6667 0.3333 0.7181
F6 F 0.6667 0.3333 0.9486
# raw total energy = -100.07 eV/cell
# E above lowest polymorph = 114 meV per atom
# energy relative to the elements, uncorrected = -2.11 eV/atom

=====

8.
# PBE CaDy2Cd, optimized geometry
data_CaDy2Cd
_symmetry_space_group_name_H-M 'P 1'
_symmetry_Int_Tables_number 1
_cell_length_a 7.7796
_cell_length_b 7.7796
_cell_length_c 7.7796
_cell_angle_alpha 90.00
_cell_angle_beta 90.00
_cell_angle_gamma 90.00
loop_
_symmetry_equiv_pos_as_xyz
'x,y,z'
loop_
_atom_site_label
_atom_site_type_symbol
_atom_site_fract_x
_atom_site_fract_y
_atom_site_fract_z
Ca1 Ca 0.0000 0.0000 0.0000
Ca2 Ca 0.0000 0.5000 0.5000
Ca3 Ca 0.5000 0.0000 0.5000
Ca4 Ca 0.5000 0.5000 0.0000
Dy1 Dy 0.2500 0.2500 0.2500
Dy2 Dy 0.2500 0.2500 0.7500
Dy3 Dy 0.2500 0.7500 0.2500
Dy4 Dy 0.2500 0.7500 0.7500
Dy5 Dy 0.7500 0.2500 0.2500
Dy6 Dy 0.7500 0.2500 0.7500
Dy7 Dy 0.7500 0.7500 0.2500
Dy8 Dy 0.7500 0.7500 0.7500
Cd1 Cd 0.0000 0.0000 0.5000
Cd2 Cd 0.0000 0.5000 0.0000
Cd3 Cd 0.5000 0.0000 0.0000
Cd4 Cd 0.5000 0.5000 0.5000
# Fermi-level density of states = 17.49 states/eV/cell
# raw total energy = -48.51 eV/cell
# E above lowest polymorph = 64 meV per atom
# formation energy = -2.0 meV per atom